Computed, not measured: an optimized crystal structure of Li2WO2 at the GGA+U level of DFT.

Unit cell a=3.693 b=3.693 c=6.663 alpha=90.00 beta=90.00 gamma=90.00
Space group I4/mmm (No. 139)
Unique sites:
1 Li 0.000 0.000 0.154 (multiplicity 4)
2 W 0.000 0.000 0.500 (multiplicity 2)
3 O 0.000 0.500 0.250 (multiplicity 4)

Summary:
M_tot   0.00 μB/f.u.
Crystal system   tetragonal
Uncorrected energy   -0.17941 Ha/atom